[1]
The following is a DFT calculation (GGA-PBE) of a relaxed structure of Y4Co3Cu.

The structure in POSCAR format:
```
Y4Co3Cu
1.0
3.985 0.000 0.000
0.000 4.006 0.000
0.000 0.000 10.390
Y Co Cu
4 3 1
Direct
0.000 0.000 0.000
0.000 0.500 0.492
0.500 0.000 0.713
0.500 0.500 0.209
0.000 0.000 0.300
0.500 0.000 0.408
0.500 0.500 0.923
0.000 0.500 0.787
```

Results
* formation enthalpy at 0 K: -192.5 meV/atom
* VASP energy: -6.601 eV/atom
* size of the total moment: 1.25 Bohr magnetons per cell
* crystal system: orthorhombic


[2]
The following is a DFT calculation (GGA-PBE) of a relaxed structure of Pm3ZrRh3.

The structure in POSCAR format:
```
Pm3ZrRh3
1.0
4.501 -5.194 0.000
4.501 5.194 0.000
-0.179 0.000 7.147
Pm Zr Rh
6 2 6
Direct
0.172 0.828 0.000
0.259 0.741 0.500
0.347 0.347 0.130
0.653 0.653 0.870
0.741 0.259 0.500
0.828 0.172 0.000
0.230 0.230 0.634
0.770 0.770 0.366
0.048 0.490 0.788
0.074 0.074 0.313
0.490 0.048 0.788
0.510 0.952 0.212
0.926 0.926 0.687
0.952 0.510 0.212
```

Results
* formation enthalpy at 0 K: -553.3 meV/atom
* VASP energy: -6.961 eV/atom
* size of the total moment: 0.00 Bohr magnetons per cell
* crystal system: monoclinic